1.
As2PdSeBr | PBE-GGA | relaxed Values from VASP.

Structure (Quantum ESPRESSO input):
```
&SYSTEM
  ibrav = 0, nat = 5, ntyp = 4
/
ATOMIC_SPECIES
As 74.92 As.upf
Se 78.96 Se.upf
Br 79.90 Br.upf
Pd 106.42 Pd.upf
CELL_PARAMETERS angstrom
4.9673 0.0000 0.0000
0.0000 4.9673 0.0000
0.0000 0.0000 4.9641
ATOMIC_POSITIONS angstrom
As 2.4837 0.0000 0.0000
As 0.0000 2.4837 0.0000
Se 0.0000 0.0000 2.4820
Br 2.4837 2.4837 2.4820
Pd 0.0000 0.0000 0.0000
```

## Properties
E_form (uncorrected): 2.8 eV per formula unit
DOS(E_F): 1.437 states/eV/atom

2.
TiPbS2 | PBE-GGA | relaxed Values from VASP.

Structure (Quantum ESPRESSO input):
```
&SYSTEM
  ibrav = 0, nat = 16, ntyp = 3
/
ATOMIC_SPECIES
S 32.06 S.upf
Pb 207.20 Pb.upf
Ti 47.87 Ti.upf
CELL_PARAMETERS angstrom
6.7692 0.0000 0.0000
0.0000 8.5951 0.0000
0.0000 0.0000 7.2289
ATOMIC_POSITIONS angstrom
S 0.2132 3.2264 3.9576
S 3.5588 4.5481 5.3837
S 3.5978 1.0712 3.9576
S 3.1713 7.5239 0.3431
S 6.5559 5.3687 0.3431
S 6.5949 0.2506 1.7692
S 0.1742 8.3444 5.3837
S 3.2103 4.0469 1.7692
Pb 3.6732 1.8847 6.7233
Pb 0.2886 2.4128 6.7233
Pb 6.4805 6.1822 3.1089
Pb 3.0959 6.7104 3.1089
Ti 4.2188 5.4086 0.1990
Ti 5.9350 1.1110 3.8134
Ti 0.8342 7.4840 0.1990
Ti 2.5504 3.1865 3.8134
```

## Properties
E_form (uncorrected): -3.0 eV per formula unit
DOS(E_F): 0.598 states/eV/atom

3.
PmPH2Rh2 | PBE-GGA | relaxed Values from VASP.

Structure (Quantum ESPRESSO input):
```
&SYSTEM
  ibrav = 0, nat = 12, ntyp = 4
/
ATOMIC_SPECIES
Pm 145.00 Pm.upf
Rh 102.91 Rh.upf
H 1.01 H.upf
P 30.97 P.upf
CELL_PARAMETERS angstrom
-5.3955 1.2608 -0.3507
-1.1956 -4.0259 3.9204
0.6333 3.6850 3.5048
ATOMIC_POSITIONS angstrom
Pm -3.9955 2.3117 3.8613
Pm -1.9623 -1.3918 3.2132
Rh 0.0032 0.4818 1.3945
Rh -2.6592 1.1039 1.2215
Rh -5.9610 0.4382 5.6800
Rh -3.2986 -0.1840 5.8530
H -4.5897 -0.0195 4.6227
H -4.2514 0.6939 1.9822
H -1.7064 0.2260 5.0923
H -1.3681 0.9394 2.4518
P -4.9603 -1.9827 3.2662
P -0.9975 2.9027 3.8083
```

## Properties
DOS(E_F): 0.464 states/eV/atom
E: -5.88 eV/atom

4.
MnOsSeN2 | PBE-GGA | relaxed Values from VASP.

Structure (Quantum ESPRESSO input):
```
&SYSTEM
  ibrav = 0, nat = 5, ntyp = 4
/
ATOMIC_SPECIES
N 14.01 N.upf
Mn 54.94 Mn.upf
Os 190.23 Os.upf
Se 78.96 Se.upf
CELL_PARAMETERS angstrom
-3.3775 -1.0633 -0.5087
0.5138 0.0614 -3.5396
1.6293 -5.2450 0.1455
ATOMIC_POSITIONS angstrom
N 0.2569 0.0307 -1.7698
N -1.6887 -0.5316 -0.2543
Mn 0.0000 0.0000 0.0000
Os -0.6172 -3.1234 -1.9514
Se 0.8146 -2.6225 0.0728
```

## Properties
E_form (uncorrected): 6.4 eV per formula unit
DOS(E_F): 1.189 states/eV/atom

5.
ErGa4Ni3 | PBE-GGA | relaxed Values from VASP.

Structure (Quantum ESPRESSO input):
```
&SYSTEM
  ibrav = 0, nat = 8, ntyp = 3
/
ATOMIC_SPECIES
Ga 69.72 Ga.upf
Ni 58.69 Ni.upf
Er 167.26 Er.upf
CELL_PARAMETERS angstrom
-0.4305 -2.6334 -3.0405
-2.2311 -2.3879 2.3842
-6.4517 3.7218 -2.3099
ATOMIC_POSITIONS angstrom
Ga -6.4087 1.8595 -0.7030
Ga -2.2741 -0.5256 0.7773
Ga -1.3738 -0.6484 -1.9350
Ga -5.5084 1.7368 -3.4153
Ni -3.6103 -1.1957 -1.1442
Ni -5.5031 -0.1038 -1.8219
Ni 0.0000 0.0000 0.0000
Er -3.2258 1.8609 -1.1549
```

## Properties
DOS(E_F): 0.672 states/eV/atom
Energy of formation: -0.44 eV/atom

6.
V2Tc4Ni | PBE-GGA | relaxed Values from VASP.

Structure (Quantum ESPRESSO input):
```
&SYSTEM
  ibrav = 0, nat = 7, ntyp = 3
/
ATOMIC_SPECIES
Tc 98.00 Tc.upf
Ni 58.69 Ni.upf
V 50.94 V.upf
CELL_PARAMETERS angstrom
-0.7572 3.4841 2.5030
-4.2674 -0.3511 -0.8021
-3.1273 -2.0573 5.7087
ATOMIC_POSITIONS angstrom
Tc -5.2666 1.7072 3.6123
Tc -0.3786 1.7421 1.2515
Tc -2.8853 -0.6315 3.7972
Tc -2.1337 -0.1756 -0.4011
Ni 0.0000 0.0000 0.0000
V -5.4861 0.4137 5.3465
V -2.6658 0.6620 2.0631
```

## Properties
DOS(E_F): 1.365 states/eV/atom
Energy of formation: 1.09 eV/atom

7.
BaCaBS2 | PBE-GGA | relaxed Values from VASP.

Structure (Quantum ESPRESSO input):
```
&SYSTEM
  ibrav = 0, nat = 5, ntyp = 4
/
ATOMIC_SPECIES
S 32.06 S.upf
Ba 137.33 Ba.upf
B 10.81 B.upf
Ca 40.08 Ca.upf
CELL_PARAMETERS angstrom
5.1001 0.0000 0.0000
0.0000 6.7606 0.0000
0.0000 0.0000 5.1001
ATOMIC_POSITIONS angstrom
S 2.5500 0.0000 0.0000
S 0.0000 0.0000 2.5500
Ba 0.0000 3.3803 0.0000
B 2.5500 3.3803 2.5500
Ca 0.0000 0.0000 0.0000
```

## Properties
E_form (uncorrected): 2.5 eV per formula unit
DOS(E_F): 0.620 states/eV/atom

8.
TlW3 | PBE-GGA | relaxed Values from VASP.

Structure (Quantum ESPRESSO input):
```
&SYSTEM
  ibrav = 0, nat = 4, ntyp = 2
/
ATOMIC_SPECIES
W 183.84 W.upf
Tl 204.38 Tl.upf
CELL_PARAMETERS angstrom
4.7522 0.0195 0.0000
-1.2230 4.5922 0.0000
0.0000 0.0000 3.1889
ATOMIC_POSITIONS angstrom
W 1.7646 2.3059 0.0000
W -0.6115 2.2961 1.5944
W 2.3761 0.0098 1.5944
Tl 0.0000 0.0000 0.0000
```

## Properties
DOS(E_F): 0.513 states/eV/atom
Energy of formation: 0.84 eV/atom

9.
CsNaBi | PBE-GGA | relaxed Values from VASP.

Structure (Quantum ESPRESSO input):
```
&SYSTEM
  ibrav = 0, nat = 6, ntyp = 3
/
ATOMIC_SPECIES
Na 22.99 Na.upf
Bi 208.98 Bi.upf
Cs 132.91 Cs.upf
CELL_PARAMETERS angstrom
4.7473 0.0000 -1.7735
-1.3953 6.7042 -3.7350
0.6230 0.5547 8.9081
ATOMIC_POSITIONS angstrom
Na -1.1232 5.3965 -3.0065
Na -0.2722 1.3077 -0.7285
Bi 2.8446 0.8002 0.3737
Bi 1.1304 6.4587 3.0259
Cs 2.6102 4.9397 -0.2536
Cs 1.3648 2.3193 3.6532
```

## Properties
DOS(E_F): 0.420 states/eV/atom
Energy of formation: -0.26 eV/atom

10.
NdGdEr4 | PBE-GGA | relaxed Values from VASP.

Structure (Quantum ESPRESSO input):
```
&SYSTEM
  ibrav = 0, nat = 6, ntyp = 3
/
ATOMIC_SPECIES
Er 167.26 Er.upf
Gd 157.25 Gd.upf
Nd 144.24 Nd.upf
CELL_PARAMETERS angstrom
6.5823 0.0000 0.0000
3.2911 5.7004 0.0000
3.2911 1.9001 5.3744
ATOMIC_POSITIONS angstrom
Er 8.2267 4.7497 3.3585
Er 6.5823 1.9015 3.3585
Er 4.9379 4.7497 3.3585
Er 6.5823 3.8003 0.6732
Gd 0.0000 0.0000 0.0000
Nd 3.2911 1.9001 1.3436
```

## Properties
DOS(E_F): 2.230 states/eV/atom
Energy of formation: 0.26 eV/atom

11.
Ce9Pu2Al3 | PBE-GGA | relaxed Values from VASP.

Structure (Quantum ESPRESSO input):
```
&SYSTEM
  ibrav = 0, nat = 28, ntyp = 3
/
ATOMIC_SPECIES
Ce 140.12 Ce.upf
Al 26.98 Al.upf
Pu 244.00 Pu.upf
CELL_PARAMETERS angstrom
-4.5185 5.8846 4.8615
-7.7723 -3.2111 -2.8213
-0.4913 -5.6117 6.8518
ATOMIC_POSITIONS angstrom
Ce -4.1620 -1.6545 5.4825
Ce -8.4107 -2.5913 8.2312
Ce -10.1121 -3.6726 5.4282
Ce -5.3330 0.9291 9.3590
Ce -10.2370 -0.3469 6.3476
Ce -6.6305 -3.6980 5.4718
Ce -2.1424 -3.8106 7.1799
Ce -6.7309 -7.0203 4.7229
Ce -5.9989 -2.8550 2.4452
Ce -2.5451 -2.5912 2.5444
Ce -6.0512 4.0821 4.1691
Ce -7.4491 -3.8672 -0.4670
Ce -8.6201 -1.2837 3.4094
Ce -6.1516 0.7599 3.4202
Ce -10.6397 0.8725 1.7121
Ce -6.7832 -0.0831 6.4468
Ce -2.6700 0.7345 3.4638
Ce -4.3714 -0.3468 0.6608
Al -4.0038 -5.1131 4.3205
Al -7.7780 -0.3522 0.4682
Al -5.0041 -2.5859 8.4238
Al -4.1958 1.7927 6.3263
Al -8.7783 2.1750 4.5715
Al -8.5863 -4.7308 2.5657
Pu -10.9159 -2.5092 7.5938
Pu -8.2572 -1.8980 5.7442
Pu -4.5249 -1.0401 3.1478
Pu -1.8661 -0.4290 1.2982
```

## Properties
DOS(E_F): 1.586 states/eV/atom
Energy of formation: -0.13 eV/atom

12.
LaSi2Os2 | PBE-GGA | relaxed Values from VASP.

Structure (Quantum ESPRESSO input):
```
&SYSTEM
  ibrav = 0, nat = 5, ntyp = 3
/
ATOMIC_SPECIES
Os 190.23 Os.upf
Si 28.09 Si.upf
La 138.91 La.upf
CELL_PARAMETERS angstrom
-3.1204 -3.8333 -3.0976
-4.0411 -3.1549 2.7825
1.5391 5.6118 -0.4064
ATOMIC_POSITIONS angstrom
Os -2.5810 -0.8578 -1.8308
Os -3.0414 -0.5186 1.1093
Si -2.6129 -2.5497 -0.1150
Si -4.5486 -4.4386 -0.2001
La 0.0000 0.0000 0.0000
```

## Properties
E_form (uncorrected): -3.5 eV per formula unit
DOS(E_F): 0.533 states/eV/atom

13.
CeYPt2 | PBE-GGA | relaxed Values from VASP.

Structure (Quantum ESPRESSO input):
```
&SYSTEM
  ibrav = 0, nat = 4, ntyp = 3
/
ATOMIC_SPECIES
Pt 195.08 Pt.upf
Ce 140.12 Ce.upf
Y 88.91 Y.upf
CELL_PARAMETERS angstrom
-0.2583 3.3233 1.0017
0.5272 -1.4100 4.8140
5.0023 0.5090 -0.3987
ATOMIC_POSITIONS angstrom
Pt 2.5011 0.2545 -0.1994
Pt 0.2636 -0.7050 2.4070
Ce -0.1291 1.6616 0.5008
Y 2.6356 1.2111 2.7085
```

## Properties
DOS(E_F): 1.669 states/eV/atom
Energy of formation: -1.08 eV/atom